# 1
## KLaIr (PBEsol)

Data for an optimized crystal structure of KLaIr.

Values from the calculation:
Its symmetry is I4mm. As for the crystal system: tetragonal.

Geometry as POSCAR:
```
KLaIr
1.0
-2.095 2.931 -0.648
-2.752 -1.560 1.841
4.870 2.462 5.728
Ir K La
1 1 1
direct
0.972 0.972 0.943 Ir
0.632 0.632 0.264 K
0.396 0.396 0.792 La
```

---

# 2
## Cr2GaS (PBEsol)

Data for an optimized crystal structure of Cr2GaS.

Values from the calculation:
As for the formation energy without anion corrections: 18.8 kJ/mol of atoms. Its symmetry is Fm-3m. As for the crystal system: cubic.

Geometry as POSCAR:
```
Cr2GaS
1.0
4.080 0.000 0.000
2.040 3.533 0.000
2.040 1.178 3.331
Cr S Ga
2 1 1
direct
0.250 0.250 0.250 Cr
0.750 0.750 0.750 Cr
0.000 0.000 0.000 S
0.500 0.500 0.500 Ga
```

---

Uncorrected energy (computed, eV per atom): -5.43, -6.86